## P
Entry from Alexandria: a relaxed structure of CaMg2Hg2 (PBE).

a b c (Å): 8.217 8.217 3.686
angles (deg): 90.00 90.00 90.00
Sites, in units of the cell vectors:
Mg (0.848, 0.348, 0.500)
Mg (0.652, 0.848, 0.500)
Hg (0.856, 0.644, 0.000)
Mg (0.348, 0.152, 0.500)
Hg (0.144, 0.356, 0.000)
Mg (0.152, 0.652, 0.500)
Ca (0.500, 0.500, 0.000)
Hg (0.644, 0.144, 0.000)
Ca (0.000, 0.000, 0.000)
Hg (0.356, 0.856, 0.000)

* calculated density: 6.5 g cm⁻³
* calculated volume: 248.86 Å³ per cell
* SG: P4/mbm (127)

---

## Q
Entry from Alexandria: a relaxed structure of CaMg2Hg2 (PBE).

a b c (Å): 4.415 4.415 7.229
angles (deg): 72.22 72.22 90.00
Sites, in units of the cell vectors:
Hg (0.610, 0.610, 0.780)
Mg (0.750, 0.250, 0.500)
Mg (0.250, 0.750, 0.500)
Hg (0.390, 0.390, 0.220)
Ca (0.000, 0.000, 0.000)

* calculated density: 6.4 g cm⁻³
* calculated volume: 127.10 Å³ per cell
* SG: I4/mmm (139)

---

## R
Entry from Alexandria: a relaxed structure of CaMg2Hg2 (PBE).

a b c (Å): 8.420 8.420 3.354
angles (deg): 90.00 90.00 90.00
Sites, in units of the cell vectors:
Hg (0.174, 0.674, 0.500)
Mg (0.375, 0.875, 0.000)
Ca (0.500, 0.500, 0.000)
Mg (0.875, 0.625, 0.000)
Ca (0.000, 0.000, 0.000)
Mg (0.625, 0.125, 0.000)
Hg (0.326, 0.174, 0.500)
Mg (0.125, 0.375, 0.000)
Hg (0.674, 0.826, 0.500)
Hg (0.826, 0.326, 0.500)

* calculated density: 6.8 g cm⁻³
* calculated volume: 237.80 Å³ per cell
* SG: P4/mbm (127)

---

R is the least stable structure shown above.